(1)
3
Lattice="4.439 0.000 0.000 -2.220 3.845 0.000 0.000 0.000 3.591" Properties=species:S:1:pos:R:3 comment="LaOsCl, relaxed, DFT PBE" final_energy_ev_per_atom=-6.052 spacegroup="No. 156" vol_a3_per_atom=20.43 pbc="T T T"
La 0.000 0.000 0.000
Os 0.000 2.563 1.851
Cl 2.220 1.282 1.769

(2)
4
Lattice="2.508 -2.561 0.000 2.508 2.561 0.000 0.000 0.000 7.324" Properties=species:S:1:pos:R:3 comment="CaCuCl2, relaxed, DFT PBE" final_energy_ev_per_atom=-3.413 spacegroup="No. 35" vol_a3_per_atom=23.52 pbc="T T T"
Ca 0.000 0.000 0.000
Cu 2.508 0.000 5.335
Cl 0.000 0.000 4.561
Cl 2.508 0.000 1.397

(3)
18
Lattice="2.011 -5.591 0.000 2.011 5.591 0.000 0.000 0.000 11.365" Properties=species:S:1:pos:R:3 comment="NdB3Ir5, relaxed, DFT PBE" final_energy_ev_per_atom=-7.988 spacegroup="No. 63" vol_a3_per_atom=14.19 pbc="T T T"
Nd 2.011 4.291 8.524
Nd 2.011 -4.291 2.841
B 2.011 3.526 2.841
B 2.011 0.821 0.733
B 2.011 0.821 4.950
B 2.011 -0.821 6.415
B 2.011 -0.821 10.632
B 2.011 -3.526 8.524
Ir 0.000 0.000 0.000
Ir 0.000 0.000 5.682
Ir 2.011 2.862 0.892
Ir 2.011 2.862 4.791
Ir 2.011 1.108 7.221
Ir 2.011 1.108 9.826
Ir 2.011 -1.108 1.538
Ir 2.011 -1.108 4.144
Ir 2.011 -2.862 6.574
Ir 2.011 -2.862 10.473

(4)
16
Lattice="11.898 0.000 0.000 0.000 3.707 6.413 0.000 -3.707 6.413" Properties=species:S:1:pos:R:3 comment="AcPm14Nd, relaxed, DFT PBE" final_energy_ev_per_atom=-4.674 spacegroup="No. 38" vol_a3_per_atom=35.35 pbc="T T T"
Ac 0.000 0.000 0.000
Pm 0.000 -1.843 3.217
Pm 0.000 1.843 3.217
Pm 2.977 0.000 8.564
Pm 3.012 0.000 2.159
Pm 3.019 -1.843 5.352
Pm 3.019 1.843 5.352
Pm 5.949 1.851 9.624
Pm 5.949 0.000 0.009
Pm 5.949 -1.851 9.624
Pm 5.949 0.000 6.426
Pm 8.878 -1.843 5.352
Pm 8.878 1.843 5.352
Pm 8.885 0.000 2.159
Pm 8.920 0.000 8.564
Nd 0.000 0.000 6.410

Please write out number 1 again, unchanged.
3
Lattice="4.439 0.000 0.000 -2.220 3.845 0.000 0.000 0.000 3.591" Properties=species:S:1:pos:R:3 comment="LaOsCl, relaxed, DFT PBE" final_energy_ev_per_atom=-6.052 spacegroup="No. 156" vol_a3_per_atom=20.43 pbc="T T T"
La 0.000 0.000 0.000
Os 0.000 2.563 1.851
Cl 2.220 1.282 1.769

> What is the formula in the first record?

LaOsCl